The following is a DFT calculation (meta-GGA SCAN) of a PBEsol-optimized structure of ReAgB2Te.

a b c (Å): 4.322 4.322 5.056
angles (deg): 90.00 90.00 90.00
Fractional positions:
Re 0.500 0.500 0.500
B 0.000 0.500 0.000
B 0.500 0.000 0.000
Te 0.000 0.000 0.000
Ag 0.000 0.000 0.500

Results
Raw formation energy, eV per atom: 2.73
SG: P4/mmm (123)
Density, g/cm3: 7.8
DFT total energy, Ry per atom: -2.072